1.
First-principles (GGA-PBE) data for crystalline TiPbSe2F at its relaxed geometry, as listed in Alexandria via LeMat-Bulk.

```
5
Lattice="-0.918 -4.750 1.905 2.337 1.333 4.449 -3.477 1.254 1.450" Properties=species:S:1:pos:R:3 pbc="T T T"
Se 1.168 0.667 2.225
Se -0.459 -2.375 0.953
F -1.738 0.627 0.725
Pb -1.029 -1.081 3.903
Ti 0.000 0.000 0.000
```

Results
Space-group type = P4/mmm
Calculated total energy = -27.294 eV/cell
E_form (uncorrected) = -1.37 eV/atom
Spin magnetization = 0.99 μB per cell

***

2.
First-principles (GGA-PBE) data for crystalline BaGe2P at its relaxed geometry, as listed in Alexandria via LeMat-Bulk.

```
8
Lattice="-4.930 -1.086 -5.954 4.285 -6.049 -2.445 -2.232 -5.718 -2.225" Properties=species:S:1:pos:R:3 pbc="T T T"
Ge 1.048 -5.446 -3.379
Ge -2.634 -9.973 -8.792
Ge -2.648 -2.764 -4.033
Ge -1.520 -7.523 -5.045
P -0.322 -3.567 -4.199
P 0.865 -7.667 -4.435
Ba 0.000 0.000 0.000
Ba -3.742 -5.186 -6.189
```

Results
Space-group type = I-42d
Calculated total energy = -34.875 eV/cell
Spin magnetization = 0.00 μB per cell

***

3.
First-principles (GGA-PBE) data for crystalline SrINF2 at its relaxed geometry, as listed in Alexandria via LeMat-Bulk.

```
5
Lattice="5.011 0.000 0.000 0.000 5.011 0.000 0.000 0.000 4.158" Properties=species:S:1:pos:R:3 pbc="T T T"
Sr 2.506 2.506 2.079
F 0.000 2.506 0.000
F 2.506 0.000 0.000
I 0.000 0.000 0.000
N 0.000 0.000 2.079
```

Results
Space-group type = P4/mmm
Calculated total energy = -19.117 eV/cell
E_form (uncorrected) = -0.76 eV/atom
Spin magnetization = 0.00 μB per cell
E above lowest polymorph = 165 meV/atom

***

4.
First-principles (GGA-PBE) data for crystalline LaSmY2 at its relaxed geometry, as listed in Alexandria via LeMat-Bulk.

```
4
Lattice="3.650 0.000 0.000 1.825 3.161 0.000 1.825 1.054 11.714" Properties=species:S:1:pos:R:3 pbc="T T T"
Sm 3.650 2.108 5.841
Y 1.825 1.054 2.961
Y 1.825 1.054 8.761
La 3.650 2.108 0.008
```

Results
Space-group type = R3m
Calculated total energy = -22.526 eV/cell
Spin magnetization = 0.00 μB per cell
E above lowest polymorph = 0 meV/atom

***

5.
First-principles (GGA-PBE) data for crystalline CeAl4Pt8 at its relaxed geometry, as listed in Alexandria via LeMat-Bulk.

```
13
Lattice="-0.184 5.416 0.824 -6.173 2.699 -0.888 -1.375 1.751 6.421" Properties=species:S:1:pos:R:3 pbc="T T T"
Al -3.178 4.058 -0.032
Al -3.086 1.350 -0.444
Al -0.779 3.583 3.622
Al -0.687 0.875 3.210
Pt -1.762 2.489 1.480
Pt -2.955 2.063 4.013
Pt -5.122 4.768 3.982
Pt -5.176 5.192 1.182
Pt -2.609 5.098 2.375
Pt -4.592 2.387 1.519
Pt -2.555 4.674 5.174
Pt -5.969 7.377 4.876
Ce 0.000 0.000 0.000
```

Results
Space-group type = I4/mmm
Calculated total energy = -81.342 eV/cell
Spin magnetization = 0.24 μB per cell

***

6.
First-principles (GGA-PBE) data for crystalline CoCu2Si at its relaxed geometry, as listed in Alexandria via LeMat-Bulk.

```
4
Lattice="-2.531 -0.936 3.576 -3.642 -2.196 1.408 1.056 -3.805 1.670" Properties=species:S:1:pos:R:3 pbc="T T T"
Si -2.642 -3.205 3.217
Cu 0.983 -3.628 1.605
Cu -3.860 -5.414 5.125
Co -1.100 -1.963 1.705
```

Results
Space-group type = Cm
Calculated total energy = -21.033 eV/cell
E_form (uncorrected) = -0.08 eV/atom
Spin magnetization = 0.60 μB per cell

***

7.
First-principles (GGA-PBE) data for crystalline Ce4TaO10 at its relaxed geometry, as listed in Alexandria via LeMat-Bulk.

```
15
Lattice="-4.669 2.284 -1.436 -1.468 -0.653 -6.389 -5.215 -3.998 0.470" Properties=species:S:1:pos:R:3 pbc="T T T"
Ce -6.229 -1.160 -1.843
Ce -8.793 -1.777 -4.610
Ce -5.123 -1.207 -5.512
Ce -2.558 -0.590 -2.745
O -5.552 1.149 -5.789
O -5.800 -3.516 -1.566
O -7.034 -2.514 -6.084
O -4.317 0.146 -1.272
O -8.298 -2.294 -2.335
O -6.843 -0.613 -4.037
O -1.819 -1.076 -0.503
O -9.532 -1.291 -6.852
O -3.053 -0.073 -5.020
O -4.509 -1.755 -3.319
Ta 0.000 0.000 0.000
```

Results
Space-group type = I4/m
Calculated total energy = -134.191 eV/cell
E_form (uncorrected) = -3.27 eV/atom
Spin magnetization = 1.35 μB per cell

***

8.
First-principles (GGA-PBE) data for crystalline NaHfSc at its relaxed geometry, as listed in Alexandria via LeMat-Bulk.

```
3
Lattice="3.196 -0.003 0.004 -1.575 8.755 -0.005 1.594 -0.290 2.756" Properties=species:S:1:pos:R:3 pbc="T T T"
Na 2.119 2.289 0.012
Hf 2.128 5.168 2.159
Sc 0.534 7.677 1.492
```

Results
Space-group type = P1
Calculated total energy = -16.890 eV/cell
Spin magnetization = 0.00 μB per cell
E above lowest polymorph = 78 meV/atom

***

9.
First-principles (GGA-PBE) data for crystalline Sc2TaRe at its relaxed geometry, as listed in Alexandria via LeMat-Bulk.

```
4
Lattice="2.843 0.000 0.000 0.000 2.843 0.000 0.000 0.000 9.306" Properties=species:S:1:pos:R:3 pbc="T T T"
Sc 0.000 0.000 4.781
Sc 0.000 0.000 9.178
Re 1.422 1.422 6.980
Ta 1.422 1.422 2.327
```

Results
Space-group type = P4/mmm
Calculated total energy = -36.044 eV/cell
Spin magnetization = 0.00 μB per cell
E above lowest polymorph = 342 meV/atom

***

10.
First-principles (GGA-PBE) data for crystalline Cu5NiPt4 at its relaxed geometry, as listed in Alexandria via LeMat-Bulk.

```
10
Lattice="3.676 0.000 -1.007 -0.688 4.653 -2.513 0.167 0.004 7.827" Properties=species:S:1:pos:R:3 pbc="T T T"
Pt 0.728 3.272 2.659
Pt 3.385 0.519 5.146
Pt -0.230 4.139 -0.839
Pt 2.427 1.385 1.649
Cu 0.120 1.876 0.438
Cu 1.494 2.327 -1.760
Cu 1.068 0.941 3.902
Cu 2.087 3.716 0.406
Cu 3.035 2.781 3.869
Ni 1.838 0.000 -0.503
```

Results
Space-group type = C2/m
Calculated total energy = -51.586 eV/cell
Spin magnetization = 1.19 μB per cell

***

11.
First-principles (GGA-PBE) data for crystalline Tb2GaRu at its relaxed geometry, as listed in Alexandria via LeMat-Bulk.

```
4
Lattice="3.496 0.000 0.000 0.000 3.496 0.000 0.000 0.000 7.108" Properties=species:S:1:pos:R:3 pbc="T T T"
Ru 1.748 1.748 0.000
Tb 0.000 0.000 1.658
Tb 0.000 0.000 5.450
Ga 1.748 1.748 3.554
```

Results
Space-group type = P4/mmm
Calculated total energy = -23.516 eV/cell
Spin magnetization = 0.00 μB per cell

***

12.
First-principles (GGA-PBE) data for crystalline LaEuRe4 at its relaxed geometry, as listed in Alexandria via LeMat-Bulk.

```
6
Lattice="-2.491 0.515 4.887 -3.208 -4.057 1.898 1.660 -3.055 4.274" Properties=species:S:1:pos:R:3 pbc="T T T"
Re -3.355 -2.596 4.774
Re -0.920 -2.094 5.963
Re -2.524 -4.123 6.912
Re -1.278 -4.381 4.468
La -1.010 -1.649 2.765
Eu 0.000 0.000 0.000
```

Results
Space-group type = F-43m
Calculated total energy = -63.930 eV/cell
Spin magnetization = 6.86 μB per cell

***

> Which formula does entry 9 have?

Sc2TaRe

***

> What is the calculated total energy in the third record?

-19.117 eV/cell

***

> spin magnetization of number 1 (TiPbSe2F)?

0.99 μB per cell